# 1
A relaxed Ca4Tl3Pt crystal, computed with PBE-GGA.

Geometry as POSCAR:
```
Ca4Tl3Pt
1.0
3.7207 0.0000 0.0000
0.0000 3.7207 0.0000
0.0000 0.0000 15.7425
Ca Tl Pt
4 3 1
Cartesian
0.0000 0.0000 1.6238
0.0000 0.0000 5.8217
0.0000 0.0000 9.9208
0.0000 0.0000 14.1187
1.8603 1.8603 3.7827
1.8603 1.8603 7.8712
1.8603 1.8603 11.9598
1.8603 1.8603 0.0000
```

# 2
A relaxed CaTlPt2 crystal, computed with PBE-GGA.

Geometry as POSCAR:
```
CaTlPt2
1.0
3.6442 0.0000 0.0000
0.0000 3.6688 0.0000
0.0000 0.0000 6.0771
Ca Tl Pt
1 1 2
Cartesian
0.0000 0.0000 0.0000
0.0000 0.0000 3.0385
1.8221 1.8344 1.5878
1.8221 1.8344 4.4892
```

# 3
A relaxed Ca2TlPt crystal, computed with PBE-GGA.

Output
Its energy relative to the lowest polymorph listed for this composition is 0.000 eV/atom.

Geometry as POSCAR:
```
Ca2TlPt
1.0
3.5939 0.0000 0.0000
0.0000 3.5611 0.0000
-0.0077 0.0000 7.9072
Ca Tl Pt
2 1 1
Cartesian
-0.0011 0.0000 1.6698
3.5874 0.0000 6.2374
1.7931 1.7806 3.9536
1.7969 1.7806 0.0000
```

# 4
A relaxed CaTl2Pt2 crystal, computed with PBE-GGA.

Output
Its energy relative to the lowest polymorph listed for this composition is 0.139 eV/atom.

Geometry as POSCAR:
```
CaTl2Pt2
1.0
8.0879 0.0000 0.0000
0.0000 8.0879 0.0000
0.0000 0.0000 3.3483
Ca Tl Pt
2 4 4
Cartesian
0.0000 0.0000 0.0000
4.0439 4.0439 0.0000
1.0545 2.9895 0.0000
2.9895 7.0334 0.0000
5.0984 1.0545 0.0000
7.0334 5.0984 0.0000
1.3981 5.4420 1.6742
2.6459 1.3981 1.6742
5.4420 6.6898 1.6742
6.6898 2.6459 1.6742
```

Computed calculated total energy, in the same sequence as the records: -3.179, -4.550, -3.759, -3.979 eV per atom.
Computed size of the total moment, in the same sequence as the records: 0.00, 0.00, 0.00, 0.00 Bohr magnetons per cell.
Computed energy relative to the elements, in the same sequence as the records: -0.5356, -0.4376, -0.6564, -0.2156 eV/atom.